Density functional theory data (GGA+U) for a geometry-optimized CaPr2FeO5 structure.

Output
magnetic moment	0.222	μB/atom
total DFT energy (no corrections)	-129.4	eV per cell

Unit cell a=5.682 b=6.751 c=6.751 alpha=90.00 beta=90.00 gamma=90.00
Sites, in units of the cell vectors:
Ca  0.000  0.500  0.500
Ca  0.000  0.000  0.000
O  0.500  0.500  0.500
O  0.766  0.142  0.642
O  0.234  0.358  0.142
O  0.234  0.642  0.858
O  0.500  0.000  0.000
O  0.766  0.858  0.358
O  0.234  0.142  0.642
O  0.766  0.358  0.142
O  0.234  0.858  0.358
O  0.766  0.642  0.858
Pr  0.500  0.828  0.672
Pr  0.500  0.672  0.172
Pr  0.500  0.328  0.828
Pr  0.500  0.172  0.328
Fe  0.000  0.500  0.000
Fe  0.000  0.000  0.500